[1]
{
  "formula": "Nb7Se12O",
  "functional": "PBE",
  "state": "optimized geometry",
  "lattice_angstrom": [[8.171, -0.173, -0.259], [-2.438, 7.801, -0.259], [-2.438, -3.244, 7.099]],
  "species": ["Se", "Se", "Se", "O", "Se", "Nb", "Nb", "Se", "Se", "Nb", "Se", "Nb", "Nb", "Se", "Nb", "Se", "Se", "Nb", "Se", "Se"],
  "fractional_positions": [[0.222, 0.084, 0.683], [0.616, 0.533, 0.850], [0.467, 0.150, 0.384], [0.000, 0.000, 0.000], [0.150, 0.384, 0.467], [0.026, 0.299, 0.098], [0.500, 0.500, 0.500], [0.384, 0.467, 0.150], [0.533, 0.850, 0.616], [0.974, 0.701, 0.902], [0.916, 0.317, 0.778], [0.299, 0.098, 0.026], [0.902, 0.974, 0.701], [0.850, 0.616, 0.533], [0.098, 0.026, 0.299], [0.317, 0.778, 0.916], [0.778, 0.916, 0.317], [0.701, 0.902, 0.974], [0.084, 0.683, 0.222], [0.683, 0.222, 0.084]],
  "e_form_raw_ev_per_atom": -0.752,
  "volume_a3_per_cell": 435.5,
  "total_energy_ev_per_cell": -132.3,
  "space_group": "R-3, No. 148",
  "n_ef_per_ev_atom": 0.589
}

---

[2]
{
  "formula": "Nb4Se5O",
  "functional": "PBE",
  "state": "optimized geometry",
  "lattice_angstrom": [[3.490, 0.000, 0.000], [0.000, 7.143, -0.444], [-1.745, -1.463, 8.021]],
  "species": ["Nb", "Nb", "Se", "Nb", "Se", "Nb", "Se", "Se", "Se", "O"],
  "fractional_positions": [[0.008, 0.799, 0.016], [0.992, 0.201, 0.984], [0.500, 0.500, 0.000], [0.365, 0.951, 0.730], [0.157, 0.332, 0.315], [0.635, 0.049, 0.270], [0.823, 0.180, 0.646], [0.177, 0.820, 0.354], [0.843, 0.668, 0.685], [0.500, 0.000, 0.000]],
  "e_form_raw_ev_per_atom": -0.828,
  "volume_a3_per_cell": 197.7,
  "total_energy_ev_per_cell": -70.9,
  "space_group": "C2/m, No. 12",
  "n_ef_per_ev_atom": 0.738
}

---

[3]
{
  "formula": "NbSe3O",
  "functional": "PBE",
  "state": "optimized geometry",
  "lattice_angstrom": [[-2.646, -0.476, 3.490], [-0.066, -4.358, -0.645], [3.522, -0.439, 2.611]],
  "species": ["Se", "Se", "O", "Se", "Nb"],
  "fractional_positions": [[0.500, 0.000, 0.000], [0.000, 0.000, 0.500], [0.000, 0.000, 0.000], [0.000, 0.500, 0.000], [0.500, 0.500, 0.500]],
  "e_form_raw_ev_per_atom": 0.412,
  "e_above_lowest_polymorph_kj_per_mol_fu": 0,
  "volume_a3_per_cell": 85.5,
  "total_energy_ev_per_cell": -23.4,
  "space_group": "Pm-3m, No. 221",
  "n_ef_per_ev_atom": 1.148
}

---

[4]
{
  "formula": "NbSeO3",
  "functional": "PBE",
  "state": "optimized geometry",
  "lattice_angstrom": [[-0.765, -3.758, 0.928], [1.778, 0.499, 3.487], [-3.438, 1.094, 1.597]],
  "species": ["Nb", "O", "O", "Se", "O"],
  "fractional_positions": [[0.500, 0.500, 0.500], [0.500, 0.000, 0.000], [0.000, 0.000, 0.500], [0.000, 0.000, 0.000], [0.000, 0.500, 0.000]],
  "e_form_raw_ev_per_atom": -0.018,
  "volume_a3_per_cell": 61.4,
  "total_energy_ev_per_cell": -28.5,
  "space_group": "Pm-3m, No. 221",
  "n_ef_per_ev_atom": 0.517
}

---

[5]
{
  "formula": "NbSeO2",
  "functional": "PBE",
  "state": "optimized geometry",
  "lattice_angstrom": [[1.702, 0.000, 7.382], [-0.851, 1.474, 7.382], [-0.851, -1.474, 7.382]],
  "species": ["Nb", "Se", "O", "O"],
  "fractional_positions": [[0.000, 0.000, 0.000], [0.500, 0.500, 0.500], [0.087, 0.087, 0.087], [0.913, 0.913, 0.913]],
  "e_form_raw_ev_per_atom": -0.245,
  "volume_a3_per_cell": 55.5,
  "total_energy_ev_per_cell": -24.5,
  "space_group": "R-3m, No. 166",
  "n_ef_per_ev_atom": 0.554
}

---

[6]
{
  "formula": "NbSeO2",
  "functional": "PBE",
  "state": "optimized geometry",
  "lattice_angstrom": [[1.723, 0.000, 8.443], [-0.861, 1.492, 8.443], [-0.861, -1.492, 8.443]],
  "species": ["Se", "Nb", "O", "O"],
  "fractional_positions": [[0.000, 0.000, 0.000], [0.500, 0.500, 0.500], [0.879, 0.879, 0.879], [0.121, 0.121, 0.121]],
  "e_form_raw_ev_per_atom": -1.390,
  "volume_a3_per_cell": 65.1,
  "total_energy_ev_per_cell": -29.0,
  "space_group": "R-3m, No. 166",
  "n_ef_per_ev_atom": 1.302
}

---

[7]
{
  "formula": "NbSeO6",
  "functional": "PBE",
  "state": "optimized geometry",
  "lattice_angstrom": [[-3.805, -1.403, -3.426], [5.212, 0.182, -0.997], [0.088, -4.148, 2.380]],
  "species": ["Nb", "O", "O", "O", "Se", "O", "O", "O"],
  "fractional_positions": [[0.000, 0.000, 0.000], [0.744, 0.744, 0.264], [0.151, 0.412, 0.274], [0.588, 0.849, 0.726], [0.500, 0.500, 0.500], [0.256, 0.256, 0.736], [0.849, 0.588, 0.726], [0.412, 0.151, 0.274]],
  "e_form_raw_ev_per_atom": -0.965,
  "volume_a3_per_cell": 105.7,
  "total_energy_ev_per_cell": -51.0,
  "space_group": "C2/m, No. 12",
  "n_ef_per_ev_atom": 0.444
}

---

[8]
{
  "formula": "NbSeO2",
  "functional": "PBE",
  "state": "optimized geometry",
  "lattice_angstrom": [[-3.688, -4.871, -0.806], [-0.061, -0.961, 6.087], [-5.369, -0.332, 3.013]],
  "species": ["Se", "O", "Se", "O", "Nb", "O", "O", "Nb"],
  "fractional_positions": [[0.500, 0.500, 0.000], [0.375, 0.124, 0.750], [0.250, 0.750, 0.500], [0.874, 0.625, 0.250], [0.000, 0.000, 0.000], [0.876, 0.125, 0.250], [0.875, 0.126, 0.750], [0.750, 0.250, 0.500]],
  "e_form_raw_ev_per_atom": -1.380,
  "volume_a3_per_cell": 165.7,
  "total_energy_ev_per_cell": -58.0,
  "space_group": "Fd-3m, No. 227",
  "n_ef_per_ev_atom": 0.594
}

---

Number 1 is which compound? Nb7Se12O